CrRuPt2: optimized geometry, GGA-PBE.

Unit cell a=4.360 b=4.360 c=4.360 alpha=60.00 beta=60.00 gamma=60.00
Sites, in units of the cell vectors:
Ru (0.500, 0.500, 0.500)
Cr (0.000, 0.000, 0.000)
Pt (0.250, 0.250, 0.250)
Pt (0.750, 0.750, 0.750)

Summary:
ΔH_f (0 K), eV per atom: 0.321
Magnetization, μB/atom: 0.000
Space-group type: No. 225
VASP energy, eV/atom: -7.424